# 1
The following is a DFT calculation (PBE) of a relaxed Sc3Ag2Pd8 crystal.

```
Sc3Ag2Pd8
1.0
2.644 1.527 9.735
-2.644 1.527 9.735
0.000 -3.053 9.735
Sc Ag Pd
3 2 8
direct
0.000 0.000 0.000
0.186 0.186 0.186
0.814 0.814 0.814
0.362 0.362 0.362
0.638 0.638 0.638
0.226 0.726 0.726
0.273 0.273 0.273
0.274 0.274 0.774
0.274 0.774 0.274
0.726 0.226 0.726
0.726 0.726 0.226
0.727 0.727 0.727
0.774 0.274 0.274
```

Computed properties:
Raw total energy: -5.48 eV per atom
DOS(E_F): 5.8 states/eV/f.u.
Crystal system: trigonal
Formation energy from the elements: -0.385 eV/atom
Space-group type: No. 166


# 2
The following is a DFT calculation (PBE) of a relaxed Li6Ca2Ag crystal.

```
Li6Ca2Ag
1.0
5.416 -2.941 0.000
5.416 2.941 0.000
-0.474 0.000 6.625
Li Ca Ag
6 2 1
direct
0.178 0.681 0.825
0.189 0.189 0.859
0.319 0.822 0.175
0.681 0.178 0.825
0.811 0.811 0.141
0.822 0.319 0.175
0.332 0.332 0.379
0.668 0.668 0.621
0.000 0.000 0.500
```

Computed properties:
Raw total energy: -2.08 eV per atom
DOS(E_F): 5.2 states/eV/f.u.
Crystal system: monoclinic
Formation energy from the elements: -0.044 eV/atom
Space-group type: No. 12


# 3
The following is a DFT calculation (PBE) of a relaxed GaFeAs2Pb crystal.

```
GaFeAs2Pb
1.0
4.484 0.000 0.000
0.000 4.484 0.000
0.000 0.000 5.631
Ga Fe As Pb
1 1 2 1
direct
0.000 0.000 0.000
0.500 0.500 0.500
0.000 0.500 0.500
0.500 0.000 0.500
0.500 0.500 0.000
```

Computed properties:
Raw total energy: -4.60 eV per atom
DOS(E_F): 3.8 states/eV/f.u.
Crystal system: tetragonal
Formation energy from the elements: 0.301 eV/atom
Space-group type: No. 123


> What is the raw total energy in the second record?

-2.08 eV per atom


> Among the records above, which one has the highest DOS(E_F)?

Sc3Ag2Pd8


> What is the DOS(E_F) in the second record?

5.2 states/eV/f.u.


What did the second record say?
The following is a DFT calculation (PBE) of a relaxed Li6Ca2Ag crystal.

```
Li6Ca2Ag
1.0
5.416 -2.941 0.000
5.416 2.941 0.000
-0.474 0.000 6.625
Li Ca Ag
6 2 1
direct
0.178 0.681 0.825
0.189 0.189 0.859
0.319 0.822 0.175
0.681 0.178 0.825
0.811 0.811 0.141
0.822 0.319 0.175
0.332 0.332 0.379
0.668 0.668 0.621
0.000 0.000 0.500
```

Computed properties:
Raw total energy: -2.08 eV per atom
DOS(E_F): 5.2 states/eV/f.u.
Crystal system: monoclinic
Formation energy from the elements: -0.044 eV/atom
Space-group type: No. 12